(1)
{"formula": "Nb14GaOs", "functional": "PBE-GGA", "state": "relaxed", "n_ef_per_ev_atom": 1.0823, "ef_kj_per_mol_atoms": -10.2, "m_tot_mub_per_atom": 0.000, "volume_a3_per_atom": 17.85, "dft_energy_ev_per_fu": -156.93, "lattice_angstrom": [[6.580, -0.014, 0.000], [0.014, 6.580, 0.000], [0.000, 0.000, 6.594]], "species": ["Nb", "Nb", "Nb", "Nb", "Nb", "Nb", "Nb", "Nb", "Nb", "Nb", "Nb", "Nb", "Nb", "Nb", "Ga", "Os"], "fractional_positions": [[0.875, 0.875, 0.000], [0.375, 0.375, 0.000], [0.875, 0.375, 0.500], [0.875, 0.375, 0.000], [0.375, 0.875, 0.500], [0.375, 0.875, 0.000], [0.621, 0.129, 0.253], [0.621, 0.129, 0.747], [0.129, 0.621, 0.253], [0.129, 0.621, 0.747], [0.621, 0.621, 0.254], [0.621, 0.621, 0.746], [0.129, 0.129, 0.254], [0.129, 0.129, 0.746], [0.875, 0.875, 0.500], [0.375, 0.375, 0.500]]}

=====

(2)
{"formula": "Al2FeMo", "functional": "PBE-GGA", "state": "relaxed", "n_ef_per_ev_atom": 0.3908, "ef_kj_per_mol_atoms": -7.6, "m_tot_mub_per_atom": 0.534, "volume_a3_per_atom": 14.49, "relative_energy_mev_per_atom": 148, "dft_energy_ev_per_fu": -27.10, "lattice_angstrom": [[-4.792, 5.123, 5.207], [-2.933, 4.202, 7.076], [-2.325, 6.403, 5.469]], "species": ["Mo", "Fe", "Al", "Al"], "fractional_positions": [[0.750, 0.750, 0.750], [0.250, 0.250, 0.250], [0.996, 0.996, 0.996], [0.504, 0.504, 0.504]]}

=====

(3)
{"formula": "PmDy4Hg2", "functional": "PBE-GGA", "state": "relaxed", "n_ef_per_ev_atom": 1.3683, "ef_kj_per_mol_atoms": -8.4, "m_tot_mub_per_atom": 0.038, "volume_a3_per_atom": 30.67, "relative_energy_mev_per_atom": 0, "dft_energy_ev_per_fu": -24.37, "lattice_angstrom": [[3.484, 0.000, 0.731], [1.711, 8.813, 0.512], [-1.062, -2.086, 13.725]], "species": ["Pm", "Pm", "Dy", "Dy", "Dy", "Dy", "Dy", "Dy", "Dy", "Dy", "Hg", "Hg", "Hg", "Hg"], "fractional_positions": [[0.897, 0.063, 0.144], [0.103, 0.937, 0.856], [0.274, 0.071, 0.380], [0.848, 0.327, 0.976], [0.009, 0.258, 0.724], [0.622, 0.410, 0.347], [0.378, 0.590, 0.653], [0.991, 0.742, 0.276], [0.152, 0.673, 0.024], [0.726, 0.929, 0.620], [0.601, 0.257, 0.541], [0.220, 0.400, 0.161], [0.780, 0.600, 0.839], [0.399, 0.743, 0.459]]}

=====

(4)
{"formula": "Pu3N3Cl", "functional": "PBE-GGA", "state": "relaxed", "n_ef_per_ev_atom": 2.0132, "m_tot_mub_per_atom": 2.000, "formation_energy_uncorrected_mev_per_atom": -1385, "volume_a3_per_atom": 19.06, "dft_energy_ev_per_fu": -79.51, "lattice_angstrom": [[6.643, 0.000, 0.000], [3.321, 5.753, 0.000], [3.321, 1.918, 6.982]], "species": ["Pu", "Pu", "Pu", "Pu", "Pu", "Pu", "N", "N", "N", "N", "N", "N", "Cl", "Cl"], "fractional_positions": [[0.235, 0.560, 0.307], [0.899, 0.235, 0.307], [0.560, 0.899, 0.307], [0.440, 0.101, 0.693], [0.101, 0.765, 0.693], [0.765, 0.440, 0.693], [0.452, 0.794, 0.627], [0.794, 0.126, 0.627], [0.126, 0.452, 0.627], [0.874, 0.548, 0.373], [0.206, 0.874, 0.373], [0.548, 0.206, 0.373], [0.333, 0.333, 0.001], [0.667, 0.667, 0.999]]}

=====

Repeat the fourth record exactly.
{"formula": "Pu3N3Cl", "functional": "PBE-GGA", "state": "relaxed", "n_ef_per_ev_atom": 2.0132, "m_tot_mub_per_atom": 2.000, "formation_energy_uncorrected_mev_per_atom": -1385, "volume_a3_per_atom": 19.06, "dft_energy_ev_per_fu": -79.51, "lattice_angstrom": [[6.643, 0.000, 0.000], [3.321, 5.753, 0.000], [3.321, 1.918, 6.982]], "species": ["Pu", "Pu", "Pu", "Pu", "Pu", "Pu", "N", "N", "N", "N", "N", "N", "Cl", "Cl"], "fractional_positions": [[0.235, 0.560, 0.307], [0.899, 0.235, 0.307], [0.560, 0.899, 0.307], [0.440, 0.101, 0.693], [0.101, 0.765, 0.693], [0.765, 0.440, 0.693], [0.452, 0.794, 0.627], [0.794, 0.126, 0.627], [0.126, 0.452, 0.627], [0.874, 0.548, 0.373], [0.206, 0.874, 0.373], [0.548, 0.206, 0.373], [0.333, 0.333, 0.001], [0.667, 0.667, 0.999]]}